The following is a PBE-GGA calculation of crystalline NaAl4Te7 at its relaxed geometry, from Alexandria.

Unit cell a=15.642 b=7.553 c=6.996 alpha=90.00 beta=90.00 gamma=90.00
Element x y z (fractional)
Na1 0.000 0.034 0.000
Na2 0.500 0.966 0.500
Al1 0.126 0.326 0.580
Al2 0.242 0.822 0.564
Al3 0.258 0.178 0.064
Al4 0.374 0.674 0.080
Al5 0.626 0.674 0.080
Al6 0.742 0.178 0.064
Al7 0.758 0.822 0.564
Al8 0.874 0.326 0.580
Te1 0.000 0.119 0.476
Te2 0.111 0.646 0.427
Te3 0.125 0.363 0.955
Te4 0.232 0.843 0.950
Te5 0.268 0.157 0.450
Te6 0.375 0.637 0.455
Te7 0.389 0.354 0.927
Te8 0.500 0.881 0.976
Te9 0.611 0.354 0.927
Te10 0.625 0.637 0.455
Te11 0.732 0.157 0.450
Te12 0.768 0.843 0.950
Te13 0.875 0.363 0.955
Te14 0.889 0.646 0.427

Properties
Space-group type ... Pmn2_1
Calculated density ... 4.12 Mg/m³
Uncorrected formation energy ... -506 kJ/mol of formula units
Calculated volume ... 34.437 Å³ per atom
Total energy ... -3.63 eV per atom


The following is a PBE-GGA calculation of crystalline Na3AlTe3 at its relaxed geometry, from Alexandria.

Unit cell a=9.073 b=8.119 c=12.366 alpha=90.00 beta=98.59 gamma=90.00
Element x y z (fractional)
Na1 0.087 0.248 0.080
Na2 0.087 0.252 0.580
Na3 0.201 0.746 0.712
Na4 0.201 0.754 0.212
Na5 0.411 0.177 0.390
Na6 0.411 0.323 0.890
Na7 0.589 0.677 0.110
Na8 0.589 0.823 0.610
Na9 0.799 0.246 0.788
Na10 0.799 0.254 0.288
Na11 0.913 0.748 0.420
Na12 0.913 0.752 0.920
Al1 0.323 0.582 0.453
Al2 0.323 0.918 0.953
Al3 0.677 0.082 0.047
Al4 0.677 0.418 0.547
Te1 0.116 0.085 0.833
Te2 0.116 0.415 0.333
Te3 0.246 0.615 0.981
Te4 0.246 0.885 0.481
Te5 0.426 0.069 0.141
Te6 0.426 0.431 0.641
Te7 0.574 0.569 0.359
Te8 0.574 0.931 0.859
Te9 0.754 0.115 0.519
Te10 0.754 0.385 0.019
Te11 0.884 0.585 0.667
Te12 0.884 0.915 0.167

Properties
Space-group type ... P2_1/c
Calculated density ... 3.53 Mg/m³
Uncorrected formation energy ... -538 kJ/mol of formula units
Calculated volume ... 32.165 Å³ per atom
Total energy ... -3.24 eV per atom


The following is a PBE-GGA calculation of crystalline Na3AlTe3 at its relaxed geometry, from Alexandria.

Unit cell a=8.125 b=7.834 c=16.312 alpha=90.00 beta=119.60 gamma=90.00
Element x y z (fractional)
Na1 0.054 0.020 0.279
Na2 0.054 0.480 0.779
Na3 0.276 0.003 0.104
Na4 0.276 0.497 0.604
Na5 0.317 0.501 0.102
Na6 0.317 0.999 0.602
Na7 0.683 0.001 0.398
Na8 0.683 0.499 0.898
Na9 0.724 0.503 0.396
Na10 0.724 0.997 0.896
Na11 0.946 0.520 0.221
Na12 0.946 0.980 0.721
Al1 0.335 0.641 0.418
Al2 0.335 0.859 0.918
Al3 0.665 0.141 0.082
Al4 0.665 0.359 0.582
Te1 0.045 0.741 0.926
Te2 0.045 0.759 0.426
Te3 0.342 0.203 0.925
Te4 0.342 0.297 0.425
Te5 0.344 0.744 0.269
Te6 0.344 0.756 0.769
Te7 0.656 0.244 0.231
Te8 0.656 0.256 0.731
Te9 0.658 0.703 0.575
Te10 0.658 0.797 0.075
Te11 0.955 0.241 0.574
Te12 0.955 0.259 0.074

Properties
Space-group type ... P2_1/c
Calculated density ... 3.52 Mg/m³
Uncorrected formation energy ... -542 kJ/mol of formula units
Calculated volume ... 32.245 Å³ per atom
Total energy ... -3.25 eV per atom


The following is a PBE-GGA calculation of crystalline NaAl2Te2 at its relaxed geometry, from Alexandria.

Unit cell a=5.949 b=5.949 c=5.949 alpha=125.58 beta=125.58 gamma=80.57
Element x y z (fractional)
Na1 0.000 0.000 0.000
Al1 0.355 0.355 0.000
Al2 0.645 0.645 0.000
Te1 0.250 0.750 0.500
Te2 0.750 0.250 0.500

Properties
Space-group type ... I4/mmm
Calculated density ... 4.11 Mg/m³
Uncorrected formation energy ... -158 kJ/mol of formula units
Calculated volume ... 26.863 Å³ per atom
Total energy ... -3.34 eV per atom


The following is a PBE-GGA calculation of crystalline Na3AlTe at its relaxed geometry, from Alexandria.

Unit cell a=5.879 b=5.879 c=5.879 alpha=90.00 beta=90.00 gamma=90.00
Element x y z (fractional)
Na1 0.000 0.000 0.500
Na2 0.000 0.500 0.000
Na3 0.500 0.000 0.000
Al1 0.500 0.500 0.500
Te1 0.000 0.000 0.000

Properties
Space-group type ... Pm-3m
Calculated density ... 1.83 Mg/m³
Uncorrected formation energy ... -4 kJ/mol of formula units
Calculated volume ... 40.634 Å³ per atom
Total energy ... -2.18 eV per atom


The following is a PBE-GGA calculation of crystalline Na3AlTe at its relaxed geometry, from Alexandria.

Unit cell a=5.616 b=5.616 c=5.616 alpha=90.00 beta=90.00 gamma=90.00
Element x y z (fractional)
Na1 0.000 0.000 0.500
Na2 0.000 0.500 0.000
Na3 0.500 0.000 0.000
Al1 0.000 0.000 0.000
Te1 0.500 0.500 0.500

Properties
Space-group type ... Pm-3m
Calculated density ... 2.10 Mg/m³
Uncorrected formation energy ... 128 kJ/mol of formula units
Calculated volume ... 35.433 Å³ per atom
Total energy ... -1.90 eV per atom


The following is a PBE-GGA calculation of crystalline Na5Al2Te6 at its relaxed geometry, from Alexandria.

Unit cell a=7.994 b=7.994 c=16.540 alpha=106.66 beta=106.66 gamma=62.33
Element x y z (fractional)
Na1 0.094 0.559 0.225
Na2 0.174 0.826 0.750
Na3 0.248 0.752 0.001
Na4 0.248 0.752 0.499
Na5 0.441 0.906 0.275
Na6 0.559 0.094 0.725
Na7 0.752 0.248 0.501
Na8 0.752 0.248 0.999
Na9 0.826 0.174 0.250
Na10 0.906 0.441 0.775
Al1 0.158 0.380 0.578
Al2 0.380 0.158 0.078
Al3 0.620 0.842 0.922
Al4 0.842 0.620 0.422
Te1 0.124 0.144 0.141
Te2 0.144 0.124 0.641
Te3 0.160 0.293 0.411
Te4 0.293 0.160 0.911
Te5 0.451 0.467 0.138
Te6 0.467 0.451 0.638
Te7 0.533 0.549 0.362
Te8 0.549 0.533 0.862
Te9 0.707 0.840 0.089
Te10 0.840 0.707 0.589
Te11 0.856 0.876 0.359
Te12 0.876 0.856 0.859

Properties
Space-group type ... C2/c
Calculated density ... 3.52 Mg/m³
Uncorrected formation energy ... -883 kJ/mol of formula units
Calculated volume ... 33.919 Å³ per atom
Total energy ... -3.24 eV per atom


The following is a PBE-GGA calculation of crystalline Na2TiAlTe4 at its relaxed geometry, from Alexandria.

Unit cell a=6.817 b=6.817 c=6.817 alpha=105.47 beta=105.47 gamma=117.81
Element x y z (fractional)
Na1 0.000 0.500 0.500
Na2 0.500 0.000 0.500
Ti1 0.000 0.000 0.000
Al1 0.500 0.500 0.000
Te1 0.082 0.082 0.651
Te2 0.431 0.431 0.349
Te3 0.569 0.918 0.000
Te4 0.918 0.569 0.000

Properties
Space-group type ... I-42m
Calculated density ... 4.37 Mg/m³
Uncorrected formation energy ... -488 kJ/mol of formula units
Calculated volume ... 29.988 Å³ per atom
Total energy ... -3.99 eV per atom


The following is a PBE-GGA calculation of crystalline Na2UAlTe5 at its relaxed geometry, from Alexandria.

Unit cell a=10.009 b=10.009 c=14.669 alpha=90.00 beta=90.00 gamma=155.22
Element x y z (fractional)
Na1 0.101 0.899 0.500
Na2 0.107 0.893 0.825
Na3 0.893 0.107 0.325
Na4 0.899 0.101 0.000
U1 0.215 0.785 0.192
U2 0.785 0.215 0.692
Al1 0.427 0.573 0.581
Al2 0.573 0.427 0.081
Te1 0.055 0.945 0.192
Te2 0.292 0.708 0.543
Te3 0.292 0.708 0.832
Te4 0.360 0.640 0.165
Te5 0.491 0.509 0.429
Te6 0.509 0.491 0.929
Te7 0.640 0.360 0.665
Te8 0.708 0.292 0.043
Te9 0.708 0.292 0.332
Te10 0.945 0.055 0.692

Properties
Space-group type ... Cmc2_1
Calculated density ... 5.12 Mg/m³
Uncorrected formation energy ... -550 kJ/mol of formula units
Calculated volume ... 34.218 Å³ per atom
Total energy ... -4.34 eV per atom


The following is a PBE-GGA calculation of crystalline NaAl2ZnTe4 at its relaxed geometry, from Alexandria.

Unit cell a=7.803 b=7.458 c=6.600 alpha=67.11 beta=61.70 gamma=51.19
Element x y z (fractional)
Na1 0.000 0.000 0.000
Al1 0.238 0.238 0.262
Al2 0.738 0.738 0.762
Zn1 0.472 0.472 0.528
Te1 0.096 0.574 0.904
Te2 0.380 0.826 0.174
Te3 0.574 0.096 0.426
Te4 0.826 0.380 0.620

Properties
Space-group type ... Fmm2
Calculated density ... 4.15 Mg/m³
Uncorrected formation energy ... -327 kJ/mol of formula units
Calculated volume ... 32.645 Å³ per atom
Total energy ... -3.25 eV per atom


The following is a PBE-GGA calculation of crystalline NaAlZn2Te4 at its relaxed geometry, from Alexandria.

Unit cell a=7.627 b=7.626 c=6.502 alpha=64.78 beta=64.76 gamma=50.46
Element x y z (fractional)
Na1 0.000 0.000 0.000
Al1 0.501 0.501 0.499
Zn1 0.250 0.250 0.250
Zn2 0.750 0.750 0.750
Te1 0.140 0.597 0.403
Te2 0.404 0.861 0.596
Te3 0.597 0.140 0.860
Te4 0.861 0.404 0.139

Properties
Space-group type ... Fmm2
Calculated density ... 4.46 Mg/m³
Uncorrected formation energy ... -409 kJ/mol of formula units
Calculated volume ... 32.152 Å³ per atom
Total energy ... -3.05 eV per atom


The following is a PBE-GGA calculation of crystalline Na2Zr2AlTe6 at its relaxed geometry, from Alexandria.

Unit cell a=7.228 b=7.228 c=8.041 alpha=98.91 beta=98.91 gamma=120.70
Element x y z (fractional)
Na1 0.166 0.834 0.000
Na2 0.834 0.166 0.000
Zr1 0.327 0.673 0.500
Zr2 0.673 0.327 0.500
Al1 0.000 0.000 0.500
Te1 0.082 0.404 0.720
Te2 0.251 0.251 0.294
Te3 0.404 0.082 0.720
Te4 0.596 0.918 0.280
Te5 0.749 0.749 0.706
Te6 0.918 0.596 0.280

Properties
Space-group type ... C2/m
Calculated density ... 4.94 Mg/m³
Uncorrected formation energy ... -836 kJ/mol of formula units
Calculated volume ... 31.183 Å³ per atom
Total energy ... -4.64 eV per atom


The following is a PBE-GGA calculation of crystalline NaThAl4 at its relaxed geometry, from Alexandria.

Unit cell a=5.635 b=5.635 c=5.635 alpha=60.00 beta=60.00 gamma=60.00
Element x y z (fractional)
Na1 0.000 0.000 0.000
Th1 0.250 0.250 0.250
Al1 0.127 0.624 0.624
Al2 0.624 0.127 0.624
Al3 0.624 0.624 0.127
Al4 0.624 0.624 0.624

Properties
Space-group type ... F-43m
Calculated density ... 4.76 Mg/m³
Calculated volume ... 21.088 Å³ per atom
Formation energy ... -0.890 eV per formula unit
Total energy ... -4.10 eV per atom


The following is a PBE-GGA calculation of crystalline Na2ThAl9 at its relaxed geometry, from Alexandria.

Unit cell a=9.412 b=9.412 c=9.412 alpha=34.78 beta=34.78 gamma=34.78
Element x y z (fractional)
Na1 0.144 0.144 0.144
Na2 0.856 0.856 0.856
Th1 0.000 0.000 0.000
Al1 0.076 0.584 0.584
Al2 0.334 0.334 0.334
Al3 0.416 0.416 0.924
Al4 0.416 0.924 0.416
Al5 0.500 0.500 0.500
Al6 0.584 0.076 0.584
Al7 0.584 0.584 0.076
Al8 0.666 0.666 0.666
Al9 0.924 0.416 0.416

Properties
Space-group type ... R-3m
Calculated density ... 3.57 Mg/m³
Calculated volume ... 20.182 Å³ per atom
Formation energy ... -1.040 eV per formula unit
Total energy ... -3.73 eV per atom


The following is a PBE-GGA calculation of crystalline NaTi3Al at its relaxed geometry, from Alexandria.

Unit cell a=4.912 b=4.912 c=4.912 alpha=90.00 beta=90.00 gamma=90.00
Element x y z (fractional)
Na1 0.000 0.000 0.000
Ti1 0.000 0.500 0.500
Ti2 0.500 0.000 0.500
Ti3 0.500 0.500 0.000
Al1 0.500 0.500 0.500

Properties
Space-group type ... Pm-3m
Calculated density ... 2.71 Mg/m³
Calculated volume ... 23.699 Å³ per atom
Formation energy ... 4.673 eV per formula unit
Total energy ... -4.81 eV per atom


The following is a PBE-GGA calculation of crystalline Na2TiAl at its relaxed geometry, from Alexandria.

Unit cell a=6.641 b=6.641 c=6.641 alpha=100.43 beta=100.43 gamma=129.65
Element x y z (fractional)
Na1 0.106 0.125 0.481
Na2 0.375 0.894 0.019
Na3 0.644 0.625 0.519
Na4 0.875 0.356 0.981
Ti1 0.250 0.750 0.500
Ti2 0.500 0.500 0.000
Al1 0.000 0.000 0.000
Al2 0.750 0.250 0.500

Properties
Space-group type ... I-42d
Calculated density ... 1.97 Mg/m³
Calculated volume ... 25.506 Å³ per atom
Formation energy ... 2.998 eV per formula unit
Total energy ... -2.82 eV per atom


The following is a PBE-GGA calculation of crystalline NaTi3Al at its relaxed geometry, from Alexandria.

Unit cell a=4.653 b=4.653 c=4.653 alpha=90.00 beta=90.00 gamma=90.00
Element x y z (fractional)
Na1 0.000 0.000 0.000
Ti1 0.000 0.000 0.500
Ti2 0.000 0.500 0.000
Ti3 0.500 0.000 0.000
Al1 0.500 0.500 0.500

Properties
Space-group type ... Pm-3m
Calculated density ... 3.19 Mg/m³
Calculated volume ... 20.152 Å³ per atom
Formation energy ... 7.234 eV per formula unit
Total energy ... -4.30 eV per atom


The following is a PBE-GGA calculation of crystalline NaTiAlTl2 at its relaxed geometry, from Alexandria.

Unit cell a=5.433 b=5.433 c=5.696 alpha=90.00 beta=90.00 gamma=90.00
Element x y z (fractional)
Na1 0.000 0.000 0.000
Ti1 0.000 0.000 0.500
Al1 0.500 0.500 0.000
Tl1 0.000 0.500 0.500
Tl2 0.500 0.000 0.500

Properties
Space-group type ... P4/mmm
Calculated density ... 5.00 Mg/m³
Calculated volume ... 33.626 Å³ per atom
Formation energy ... 4.036 eV per formula unit
Total energy ... -2.73 eV per atom


The following is a PBE-GGA calculation of crystalline NaTi2AlV at its relaxed geometry, from Alexandria.

Unit cell a=4.506 b=4.506 c=5.131 alpha=90.00 beta=90.00 gamma=90.00
Element x y z (fractional)
Na1 0.000 0.000 0.000
Ti1 0.000 0.500 0.500
Ti2 0.500 0.000 0.500
Al1 0.500 0.500 0.000
V1 0.000 0.000 0.500

Properties
Space-group type ... P4/mmm
Calculated density ... 3.13 Mg/m³
Calculated volume ... 20.838 Å³ per atom
Formation energy ... 4.750 eV per formula unit
Total energy ... -5.04 eV per atom


The following is a PBE-GGA calculation of crystalline Na12AlTl6 at its relaxed geometry, from Alexandria.

Unit cell a=8.267 b=8.267 c=8.267 alpha=88.41 beta=88.41 gamma=88.41
Element x y z (fractional)
Na1 0.028 0.308 0.928
Na2 0.072 0.972 0.692
Na3 0.125 0.355 0.462
Na4 0.308 0.928 0.028
Na5 0.355 0.462 0.125
Na6 0.462 0.125 0.355
Na7 0.538 0.875 0.645
Na8 0.645 0.538 0.875
Na9 0.692 0.072 0.972
Na10 0.875 0.645 0.538
Na11 0.928 0.028 0.308
Na12 0.972 0.692 0.072
Al1 0.500 0.500 0.500
Tl1 0.234 0.746 0.384
Tl2 0.254 0.616 0.766
Tl3 0.384 0.234 0.746
Tl4 0.616 0.766 0.254
Tl5 0.746 0.384 0.234
Tl6 0.766 0.254 0.616

Properties
Space-group type ... R-3
Calculated density ... 4.50 Mg/m³
Calculated volume ... 29.700 Å³ per atom
Formation energy ... -1.217 eV per formula unit
Total energy ... -1.84 eV per atom